The following is a DFT calculation (PBE-GGA) of KRh2S3 after structural relaxation.

Calculated values
DFT total energy: -5.1885 eV/atom
Volume: 261.07 Å³ per cell
Spin magnetization: 0.00 Bohr magnetons per cell

Cell: 5.547 7.479 7.321 Å, 120.72 90.00 90.00°
Fractional coordinates of all 12 atoms:
S: 0.250 0.250 0.777
S: 0.250 0.527 0.777
S: 0.250 0.098 0.196
S: 0.750 0.902 0.804
S: 0.750 0.750 0.223
S: 0.750 0.473 0.223
K: 0.250 0.732 0.464
K: 0.750 0.268 0.536
Rh: 0.000 0.189 0.000
Rh: 0.000 0.811 0.000
Rh: 0.500 0.189 0.000
Rh: 0.500 0.811 0.000